(1)
DFT (PBE) results for crystalline Pm2GeO at its relaxed geometry.

Computed properties:
ΔE_f (raw) = -1827.6 meV/atom
Energy above the most stable polymorph in this dataset = 0 meV per atom
DOS at the Fermi energy = 2.89 states/eV per cell

Lattice parameters (Å, degrees): 4.0366 6.9699 12.9585 90.00 90.00 90.00
Closest atoms and distances in Å follow each position.
Sites, in units of the cell vectors:
O 0.2500 0.5805 0.0877  4 Pm 2.29-2.56
O 0.7500 0.4195 0.9123  4 Pm 2.29-2.56
O 0.7500 0.9195 0.5877  4 Pm 2.29-2.56
O 0.2500 0.0805 0.4123  4 Pm 2.29-2.56
Pm 0.7500 0.0930 0.7376  1 O 2.29
Pm 0.2500 0.2820 0.9728  3 O 2.37-2.56
Pm 0.7500 0.2180 0.4728  3 O 2.37-2.56
Pm 0.7500 0.7180 0.0272  3 O 2.37-2.56
Pm 0.2500 0.9070 0.2624  1 O 2.29
Pm 0.7500 0.5930 0.7624  1 O 2.29
Pm 0.2500 0.7820 0.5272  3 O 2.37-2.56
Pm 0.2500 0.4070 0.2376  1 O 2.29
Ge 0.7500 0.6231 0.3588  7 Pm 2.97-3.19
Ge 0.7500 0.1231 0.1412  7 Pm 2.97-3.19
Ge 0.2500 0.8769 0.8588  7 Pm 2.97-3.19
Ge 0.2500 0.3769 0.6412  7 Pm 2.97-3.19

=====

(2)
DFT (PBE) results for crystalline Pm5Ge3O at its relaxed geometry.

Computed properties:
ΔE_f (raw) = -1282.9 meV/atom
DOS at the Fermi energy = 7.35 states/eV per cell

Lattice parameters (Å, degrees): 6.4899 8.7425 8.7425 120.00 90.00 90.00
Closest atoms and distances in Å follow each position.
Sites, in units of the cell vectors:
Pm 0.0000 0.6667 0.3333  6 Ge 3.13, 2 Pm 3.24
Pm 0.5000 0.6667 0.3333  6 Ge 3.13, 2 Pm 3.24
Pm 0.0000 0.3333 0.6667  6 Ge 3.13, 2 Pm 3.24
Pm 0.2500 0.2296 0.0000  2 O 2.58
Pm 0.2500 0.0000 0.2296  2 O 2.58
Pm 0.7500 0.7704 0.0000  2 O 2.58
Pm 0.7500 0.0000 0.7704  2 O 2.58
Pm 0.5000 0.3333 0.6667  6 Ge 3.13, 2 Pm 3.24
Pm 0.2500 0.7704 0.7704  2 O 2.58
Pm 0.7500 0.2296 0.2296  2 O 2.58
Ge 0.2500 0.3984 0.3984  7 Pm 3.03-3.25
Ge 0.2500 0.0000 0.6016  7 Pm 3.03-3.25
Ge 0.7500 0.0000 0.3984  7 Pm 3.03-3.25
Ge 0.2500 0.6016 0.0000  7 Pm 3.03-3.25
Ge 0.7500 0.3984 0.0000  7 Pm 3.03-3.25
Ge 0.7500 0.6016 0.6016  7 Pm 3.03-3.25
O 0.0000 0.0000 0.0000  6 Pm 2.58
O 0.5000 0.0000 0.0000  6 Pm 2.58

=====

(3)
DFT (PBE) results for crystalline Pm3GeO2 at its relaxed geometry.

Computed properties:
ΔE_f (raw) = -2173.5 meV/atom
DOS at the Fermi energy = 3.43 states/eV per cell

Lattice parameters (Å, degrees): 3.9977 4.9238 12.4916 90.00 90.00 90.00
Closest atoms and distances in Å follow each position.
Sites, in units of the cell vectors:
Ge 0.2506 0.0000 0.0000  8 Pm 3.15-3.17
Ge 0.7494 0.5000 0.5000  8 Pm 3.15-3.17
Pm 0.2480 0.0000 0.5000  2 O 2.49
Pm 0.7498 0.0000 0.8050  4 O 2.40-2.46
Pm 0.2502 0.5000 0.3050  4 O 2.40-2.46
Pm 0.7520 0.5000 0.0000  2 O 2.49
Pm 0.2502 0.5000 0.6950  4 O 2.40-2.46
Pm 0.7498 0.0000 0.1950  4 O 2.40-2.46
O 0.7503 0.5000 0.1992  5 Pm 2.40-2.49
O 0.7503 0.5000 0.8008  5 Pm 2.40-2.49
O 0.2497 0.0000 0.3008  5 Pm 2.40-2.49
O 0.2497 0.0000 0.6992  5 Pm 2.40-2.49

=====

(4)
DFT (PBE) results for crystalline Pm6Ge3O at its relaxed geometry.

Computed properties:
ΔE_f (raw) = -1046.1 meV/atom
DOS at the Fermi energy = 16.76 states/eV per cell

Lattice parameters (Å, degrees): 6.4817 7.8730 10.1277 90.00 89.19 90.00
Closest atoms and distances in Å follow each position.
Sites, in units of the cell vectors:
Pm 0.8288 0.6631 0.5579  1 O 2.56
Pm 0.6377 0.2054 0.5606  1 O 2.56
Pm 0.6396 0.4535 0.2648  1 O 2.56, 1 Ge 2.87
Pm 0.8623 0.7054 0.9394  1 O 2.56
Pm 0.3288 0.8369 0.0579  1 O 2.56
Pm 0.1712 0.3369 0.4421  1 O 2.56
Pm 0.8604 0.9535 0.2352  1 O 2.56, 1 Ge 2.87
Pm 0.6712 0.1631 0.9421  1 O 2.56
Pm 0.1396 0.0465 0.7648  1 O 2.56, 1 Ge 2.87
Pm 0.3604 0.5465 0.7352  1 O 2.56, 1 Ge 2.87
Pm 0.1377 0.2946 0.0606  1 O 2.56
Pm 0.3623 0.7946 0.4394  1 O 2.56
Ge 0.0699 0.6106 0.2478  6 Pm 3.00-3.16
Ge 0.0000 0.0000 0.5000  6 Pm 2.87-2.93
Ge 0.4301 0.1106 0.2522  6 Pm 3.00-3.16
Ge 0.9301 0.3894 0.7522  6 Pm 3.00-3.16
Ge 0.5699 0.8894 0.7478  6 Pm 3.00-3.16
Ge 0.5000 0.5000 0.0000  6 Pm 2.87-2.93
O 0.5000 0.5000 0.5000  6 Pm 2.56
O 0.0000 0.0000 0.0000  6 Pm 2.56

=====

(5)
DFT (PBE) results for crystalline Pm5Ge4O at its relaxed geometry.

Computed properties:
ΔE_f (raw) = -1082.7 meV/atom
DOS at the Fermi energy = 6.18 states/eV per cell

Lattice parameters (Å, degrees): 5.9913 7.1466 7.1466 79.88 65.22 65.22
Closest atoms and distances in Å follow each position.
Sites, in units of the cell vectors:
Ge 0.4125 0.3954 0.7861  6 Pm 2.93-3.06
Ge 0.8080 0.7861 0.6046  6 Pm 2.93-3.06
Ge 0.1986 0.2139 0.3954  6 Pm 2.93-3.06
Ge 0.5941 0.6046 0.2139  6 Pm 2.93-3.06
Pm 0.9055 0.3671 0.8197  1 O 2.68, 3 Ge 2.93-2.99
Pm 0.4439 0.0000 0.0000  1 O 2.32
Pm 0.0923 0.6329 0.1803  1 O 2.68, 3 Ge 2.93-2.99
Pm 0.2726 0.8197 0.6329  1 O 2.68, 3 Ge 2.93-2.99
Pm 0.7252 0.1803 0.3671  1 O 2.68, 3 Ge 2.93-2.99
O 0.0575 0.0000 0.0000  1 Pm 2.32

=====

(6)
DFT (PBE) results for crystalline Pm3GeO3 at its relaxed geometry.

Computed properties:
ΔE_f (raw) = -2523.5 meV/atom
DOS at the Fermi energy = 3.00 states/eV per cell

Lattice parameters (Å, degrees): 6.7623 6.7623 8.4786 66.50 66.50 60.00
Closest atoms and distances in Å follow each position.
Sites, in units of the cell vectors:
Pm 0.9029 0.2502 0.3002  4 O 2.31-2.41
Pm 0.0971 0.7498 0.6998  4 O 2.31-2.41
Pm 0.2502 0.5467 0.3002  4 O 2.31-2.41
Pm 0.7498 0.4533 0.6998  4 O 2.31-2.41
Pm 0.5467 0.9029 0.3002  4 O 2.31-2.41
Pm 0.4533 0.0971 0.6998  4 O 2.31-2.41
O 0.4418 0.8048 0.6206  4 Pm 2.31-2.41
O 0.1952 0.8673 0.3794  4 Pm 2.31-2.41
O 0.8048 0.1327 0.6206  4 Pm 2.31-2.41
O 0.5582 0.1952 0.3794  4 Pm 2.31-2.41
O 0.1327 0.4418 0.6206  4 Pm 2.31-2.41
O 0.8673 0.5582 0.3794  4 Pm 2.31-2.41
Ge 0.6666 0.6666 0.0003  6 Pm 3.14-3.16
Ge 0.3334 0.3334 0.9997  6 Pm 3.14-3.16